(1)
Below is crystalline AgOsCl4 at its relaxed geometry, with properties calculated at the PBE level.

Lattice parameters (Å, degrees): 7.3222 7.4755 7.5729 90.00 90.00 90.00
Space group P222 (No. 16)
Inequivalent atoms, fractional coordinates:
Ag 0.0000 0.0000 0.0000
Ag 0.5000 0.5000 0.0000
Os 0.0000 0.0000 0.5000
Os 0.5000 0.0000 0.0000
Cl 0.0016 0.2167 0.2867
Cl 0.4985 0.2161 0.7860

Spin magnetization   6.001 μB per cell
Formation energy (no corrections)   -133 meV per atom
ΔE to the lowest computed polymorph   0.000 eV/atom
E_tot   -3.711 eV/atom
Crystal system   orthorhombic
Density of states at the Fermi level   4.61 states/eV per cell

---

(2)
Below is crystalline AgOs3Cl at its relaxed geometry, with properties calculated at the PBE level.

Lattice parameters (Å, degrees): 4.9569 4.9569 4.9569 90.00 90.00 90.00
Space group Pm-3m (No. 221)
Inequivalent atoms, fractional coordinates:
Ag 0.0000 0.0000 0.0000
Os 0.0000 0.0000 0.5000
Cl 0.5000 0.5000 0.5000

Spin magnetization   8.677 μB per cell
Formation energy (no corrections)   3215 meV per atom
E_tot   -4.463 eV/atom
Crystal system   cubic
Density of states at the Fermi level   6.54 states/eV per cell

---

(3)
Below is crystalline AgOsCl at its relaxed geometry, with properties calculated at the PBE level.

Lattice parameters (Å, degrees): 6.2016 6.2016 6.2016 90.00 90.00 90.00
Space group F-43m (No. 216)
Inequivalent atoms, fractional coordinates:
Ag 0.0000 0.0000 0.0000
Os 0.2500 0.2500 0.7500
Cl 0.0000 0.0000 0.5000

Spin magnetization   7.406 μB per cell
Formation energy (no corrections)   1463 meV per atom
ΔE to the lowest computed polymorph   0.714 eV/atom
E_tot   -3.846 eV/atom
Crystal system   cubic
Density of states at the Fermi level   13.19 states/eV per cell

---

(4)
Below is crystalline AgOs2Cl at its relaxed geometry, with properties calculated at the PBE level.

Lattice parameters (Å, degrees): 3.5156 3.5156 7.2579 90.00 90.00 90.00
Space group P4/mmm (No. 123)
Inequivalent atoms, fractional coordinates:
Ag 0.0000 0.0000 0.0000
Os 0.0000 0.5000 0.5000
Cl 0.5000 0.5000 0.0000

Spin magnetization   0.002 μB per cell
Formation energy (no corrections)   1265 meV per atom
ΔE to the lowest computed polymorph   0.920 eV/atom
E_tot   -5.524 eV/atom
Crystal system   tetragonal
Density of states at the Fermi level   6.37 states/eV per cell